Record 1
Here is a relaxed structure of PrHo6Er2Tm3 from the Alexandria database. Energies are from PBE.

Cell and atoms, written as CIF:
```
data_PrHo6Er2Tm3
_chemical_formula_sum 'Pr1 Ho6 Er2 Tm3'
_symmetry_space_group_name_H-M 'P 1'
_symmetry_Int_Tables_number 1
_cell_length_a 6.1042
_cell_length_b 6.1042
_cell_length_c 11.6927
_cell_angle_alpha 94.98
_cell_angle_beta 94.98
_cell_angle_gamma 119.94
loop_
_symmetry_equiv_pos_as_xyz
'x,y,z'
loop_
_atom_site_label
_atom_site_type_symbol
_atom_site_fract_x
_atom_site_fract_y
_atom_site_fract_z
Ho1 Ho 0.0848 0.4190 0.2527
Ho2 Ho 0.5810 0.9152 0.7473
Ho3 Ho 0.4190 0.0848 0.2527
Tm1 Tm 0.5000 0.5000 0.5000
Tm2 Tm 0.1670 0.8330 0.5000
Ho4 Ho 0.7504 0.7504 0.2526
Tm3 Tm 0.8330 0.1670 0.5000
Ho5 Ho 0.2496 0.2496 0.7474
Er1 Er 0.6667 0.3333 0.0000
Er2 Er 0.3333 0.6667 0.0000
Ho6 Ho 0.9152 0.5810 0.7473
Pr1 Pr 0.0000 0.0000 0.0000
```

Computed properties:
DOS at the Fermi energy: 16.0 states/eV per cell
VASP energy: -4.543 eV/atom
SG: C2/m (12)
Energy relative to the elements: 0.022 eV per atom
M_tot: 0.0 μB/f.u.

Record 2
Here is a relaxed structure of PrHo2Er2Tm2 from the Alexandria database. Energies are from PBE.

Cell and atoms, written as CIF:
```
data_PrHo2Er2Tm2
_chemical_formula_sum 'Pr1 Ho2 Er2 Tm2'
_symmetry_space_group_name_H-M 'P 1'
_symmetry_Int_Tables_number 1
_cell_length_a 3.4781
_cell_length_b 8.9363
_cell_length_c 8.2868
_cell_angle_alpha 115.99
_cell_angle_beta 90.00
_cell_angle_gamma 101.22
loop_
_symmetry_equiv_pos_as_xyz
'x,y,z'
loop_
_atom_site_label
_atom_site_type_symbol
_atom_site_fract_x
_atom_site_fract_y
_atom_site_fract_z
Ho1 Ho 0.4275 0.8551 0.0857
Ho2 Ho 0.5725 0.1449 0.9143
Tm1 Tm 0.6503 0.3006 0.3918
Tm2 Tm 0.3497 0.6994 0.6082
Er1 Er 0.7889 0.5777 0.2022
Er2 Er 0.2111 0.4223 0.7978
Pr1 Pr 0.0000 0.0000 0.5000
```

Computed properties:
DOS at the Fermi energy: 11.1 states/eV per cell
VASP energy: -4.419 eV/atom
SG: C2/m (12)
Energy relative to the elements: 0.153 eV per atom
M_tot: 0.0 μB/f.u.

Record 3
Here is a relaxed structure of Pr3HoEr2Tm6 from the Alexandria database. Energies are from PBE.

Cell and atoms, written as CIF:
```
data_Pr3HoEr2Tm6
_chemical_formula_sum 'Pr3 Ho1 Er2 Tm6'
_symmetry_space_group_name_H-M 'P 1'
_symmetry_Int_Tables_number 1
_cell_length_a 6.1614
_cell_length_b 6.1614
_cell_length_c 11.7027
_cell_angle_alpha 95.03
_cell_angle_beta 95.03
_cell_angle_gamma 119.97
loop_
_symmetry_equiv_pos_as_xyz
'x,y,z'
loop_
_atom_site_label
_atom_site_type_symbol
_atom_site_fract_x
_atom_site_fract_y
_atom_site_fract_z
Pr1 Pr 0.8334 0.1666 0.5000
Er1 Er 0.6667 0.3333 0.0000
Tm1 Tm 0.2515 0.2515 0.7552
Er2 Er 0.3333 0.6667 0.0000
Tm2 Tm 0.0819 0.4153 0.2449
Ho1 Ho 0.0000 0.0000 0.0000
Tm3 Tm 0.7485 0.7485 0.2448
Tm4 Tm 0.9181 0.5847 0.7551
Pr2 Pr 0.5000 0.5000 0.5000
Tm5 Tm 0.5847 0.9181 0.7551
Pr3 Pr 0.1666 0.8334 0.5000
Tm6 Tm 0.4153 0.0819 0.2449
```

Computed properties:
DOS at the Fermi energy: 16.2 states/eV per cell
VASP energy: -4.546 eV/atom
SG: C2/m (12)
Energy relative to the elements: 0.027 eV per atom
M_tot: 0.0 μB/f.u.

Record 4
Here is a relaxed structure of Pr2HoErTm5 from the Alexandria database. Energies are from PBE.

Cell and atoms, written as CIF:
```
data_Pr2HoErTm5
_chemical_formula_sum 'Pr4 Ho2 Er2 Tm10'
_symmetry_space_group_name_H-M 'P 1'
_symmetry_Int_Tables_number 1
_cell_length_a 8.5453
_cell_length_b 8.5453
_cell_length_c 9.8907
_cell_angle_alpha 115.59
_cell_angle_beta 115.59
_cell_angle_gamma 90.00
loop_
_symmetry_equiv_pos_as_xyz
'x,y,z'
loop_
_atom_site_label
_atom_site_type_symbol
_atom_site_fract_x
_atom_site_fract_y
_atom_site_fract_z
Er1 Er 0.2500 0.7500 0.5000
Tm1 Tm 0.0726 0.5726 0.7161
Tm2 Tm 0.5000 0.5000 0.0000
Ho1 Ho 0.7500 0.7500 0.5000
Tm3 Tm 0.8565 0.9274 0.2839
Tm4 Tm 0.3565 0.8565 0.2839
Tm5 Tm 0.4274 0.3565 0.2839
Pr1 Pr 0.6184 0.1184 0.0000
Er2 Er 0.7500 0.2500 0.5000
Tm6 Tm 0.1435 0.0726 0.7161
Pr2 Pr 0.8816 0.6184 0.0000
Tm7 Tm 0.5726 0.6435 0.7161
Tm8 Tm 0.0000 0.0000 0.0000
Pr3 Pr 0.1184 0.3816 0.0000
Tm9 Tm 0.6435 0.1435 0.7161
Pr4 Pr 0.3816 0.8816 0.0000
Tm10 Tm 0.9274 0.4274 0.2839
Ho2 Ho 0.2500 0.2500 0.5000
```

Computed properties:
DOS at the Fermi energy: 22.4 states/eV per cell
VASP energy: -4.286 eV/atom
SG: I4/mcm (140)
Energy relative to the elements: 0.276 eV per atom
M_tot: 0.0 μB/f.u.